# 1
The following is a DFT calculation (PBE) of a relaxed LiZn3Cu6 crystal.

Cell and atoms, written as extended XYZ:
```
20
Lattice="-1.924 -3.789 -2.245 6.786 -3.711 0.447 -4.391 -1.453 6.216" Properties=species:S:1:pos:R:3 pbc="T T T"
Li -2.737 -2.316 4.953
Li 3.683 -5.702 0.020
Zn 1.840 -6.314 3.612
Zn 0.887 -4.033 5.723
Zn -0.272 -2.603 3.844
Zn 1.413 -5.032 1.355
Zn -0.527 -0.983 1.787
Zn 0.425 -3.264 -0.323
Cu 2.287 -3.759 3.697
Cu -0.417 -5.301 3.473
Cu -1.521 -4.592 5.630
Cu 2.870 -7.568 1.745
Cu 5.948 -4.868 -0.148
Cu -2.786 -4.299 3.433
Cu 3.821 -3.544 1.643
Cu -5.736 -4.596 4.263
Cu -2.718 -2.013 2.302
Cu 1.674 -4.989 -1.583
Cu 1.593 -2.264 1.768
Cu -1.111 -3.806 1.544
```

Calculated values
As for the calculated total energy: -2.9977 eV/atom. The spin magnetization is 0.0 μB per formula unit. For the energy of formation, the calculation gives 0.034 eV per atom. The value obtained for the energy above the most stable polymorph in this dataset is 116 meV per atom. The value obtained for the density of states at the Fermi level is 2.9 states/eV/f.u.

# 2
The following is a DFT calculation (PBE) of a relaxed CaBeAgRh2 crystal.

Cell and atoms, written as extended XYZ:
```
5
Lattice="4.322 0.000 0.000 0.000 4.322 0.000 0.000 0.000 4.446" Properties=species:S:1:pos:R:3 pbc="T T T"
Be 0.000 0.000 0.000
Ca 2.161 2.161 2.223
Rh 0.000 2.161 0.000
Rh 2.161 0.000 0.000
Ag 0.000 0.000 2.223
```

Calculated values
As for the calculated total energy: -4.8551 eV/atom. The spin magnetization is 0.0 μB per formula unit. For the energy of formation, the calculation gives -0.199 eV per atom. The value obtained for the density of states at the Fermi level is 5.1 states/eV/f.u.

# 3
The following is a DFT calculation (PBE) of a relaxed RhSCl3 crystal.

Cell and atoms, written as extended XYZ:
```
5
Lattice="-4.670 -0.906 0.703 0.955 -1.439 4.488 -0.635 4.498 1.577" Properties=species:S:1:pos:R:3 pbc="T T T"
S -2.175 1.076 3.384
Rh 0.000 0.000 0.000
Cl 0.477 -0.719 2.244
Cl -0.318 2.249 0.789
Cl -2.335 -0.453 0.351
```

Calculated values
For the formation energy (no corrections), the calculation gives 0.33 eV/atom. As for the calculated total energy: -3.0781 eV/atom. The spin magnetization is 2.5 μB per formula unit. The value obtained for the energy above the most stable polymorph in this dataset is 0 meV per atom. The value obtained for the density of states at the Fermi level is 5.6 states/eV/f.u.